# 1
Below is an optimized crystal structure of Al2ZnBr, with properties calculated at the PBE level.

As for the offset from the most stable computed form: 227.6 meV/atom. For the formation energy from raw total energies, the calculation gives 1.163 eV per formula unit.

The structure belongs to space group P4/mmm (No. 123); the cell edges are 4.111, 4.111 and 5.175 Å and the angles 90.00°, 90.00° and 90.00°. Symmetry generates all atoms from Al at (0.000, 0.500, 0.000), Zn at (0.000, 0.000, 0.500) and Br at (0.500, 0.500, 0.500).

# 2
Below is an optimized crystal structure of LiBiPd, with properties calculated at the PBE level.

As for the offset from the most stable computed form: 54.9 meV/atom.

The structure belongs to space group P3m1 (No. 156); the cell edges are 4.4712, 4.4712 and 3.3289 Å and the angles 90.00°, 90.00° and 120.00°. Symmetry generates all atoms from Li at (0.0000, 0.0000, 0.0000), Bi at (0.6667, 0.3333, 0.5028) and Pd at (0.3333, 0.6667, 0.0046).

# 3
Below is an optimized crystal structure of SiSb2CI, with properties calculated at the PBE level.

As for the offset from the most stable computed form: 0.0 meV/atom. For the formation energy from raw total energies, the calculation gives 6.412 eV per formula unit.

The structure belongs to space group P4/mmm (No. 123); the cell edges are 4.768, 4.768 and 4.975 Å and the angles 90.00°, 90.00° and 90.00°. Symmetry generates all atoms from Si at (0.000, 0.000, 0.000), Sb at (0.000, 0.500, 0.500), C at (0.500, 0.500, 0.500) and I at (0.500, 0.500, 0.000).

# 4
Below is an optimized crystal structure of LaScTi3, with properties calculated at the PBE level.

As for the offset from the most stable computed form: 0.0 meV/atom.

The structure belongs to space group Pm-3m (No. 221); the cell edges are 4.942, 4.942 and 4.942 Å and the angles 90.00°, 90.00° and 90.00°. Symmetry generates all atoms from La at (0.000, 0.000, 0.000), Sc at (0.500, 0.500, 0.500) and Ti at (0.000, 0.500, 0.500).

# 5
Below is an optimized crystal structure of SmBi2SbO8, with properties calculated at the PBE level.

For the formation energy from raw total energies, the calculation gives -19.320 eV per formula unit.

The structure belongs to space group Cmmm (No. 65); the cell edges are 7.138, 7.229 and 7.014 Å and the angles 90.00°, 90.00° and 90.00°. Symmetry generates all atoms from Sm at (0.000, 0.000, 0.000), Bi at (0.000, 0.500, 0.256), Sb at (0.000, 0.000, 0.500), O at (0.000, 0.285, 0.500), O at (0.000, 0.319, 0.000) and O at (0.184, 0.000, 0.281).

# 6
Below is an optimized crystal structure of Te2PdI, with properties calculated at the PBE level.

For the formation energy from raw total energies, the calculation gives 0.333 eV per formula unit.

The structure belongs to space group R3m (No. 160, hexagonal axes); the cell edges are 3.9874, 3.9874 and 24.6203 Å and the angles 90.00°, 90.00° and 120.00°. Symmetry generates all atoms from Te at (0.0000, 0.0000, 0.0000), Te at (0.0000, 0.0000, 0.4210), Pd at (0.0000, 0.0000, 0.1518) and I at (0.0000, 0.0000, 0.5580).

# 7
Below is an optimized crystal structure of CrRuPb2, with properties calculated at the PBE level.

As for the offset from the most stable computed form: 196.9 meV/atom.

The structure belongs to space group R3m (No. 160, hexagonal axes); the cell edges are 3.2824, 3.2824 and 30.1135 Å and the angles 90.00°, 90.00° and 120.00°. Symmetry generates all atoms from Cr at (0.0000, 0.0000, 0.0000), Ru at (0.0000, 0.0000, 0.7084), Pb at (0.0000, 0.0000, 0.2461) and Pb at (0.0000, 0.0000, 0.4622).

# 8
Below is an optimized crystal structure of Tb2CeHoSc4, with properties calculated at the PBE level.

The structure belongs to space group P2/m (No. 10); the cell edges are 5.905, 3.408 and 11.107 Å and the angles 90.00°, 100.31° and 90.00°. Symmetry generates all atoms from Tb at (0.000, 0.000, 0.000), Tb at (0.000, 0.500, 0.500), Ce at (0.500, 0.000, 0.500), Ho at (0.500, 0.500, 0.000), Sc at (0.254, 0.000, 0.749) and Sc at (0.256, 0.500, 0.253).

For the records above, the corresponding electronic total energy values read -2.317; -4.023; -3.606; -6.121; -6.299; -3.173; -6.055; -5.571 eV/atom.